No. 1
VASP calculation (PBE) on a relaxed HfMg crystal.

Final energy, eV/atom: -5.61
V, Å³ per atom: 22.20
Space group: P2_1/m, No. 11

a b c (Å): 6.433 5.050 8.353
angles (deg): 90.00 100.95 90.00
Atoms (fractional coordinates):
1 Hf 0.028 0.250 0.109
2 Hf 0.189 0.250 0.796
3 Hf 0.290 0.750 0.206
4 Hf 0.710 0.250 0.794
5 Hf 0.811 0.750 0.204
6 Hf 0.972 0.750 0.891
7 Mg 0.138 0.750 0.553
8 Mg 0.364 0.250 0.447
9 Mg 0.471 0.750 0.882
10 Mg 0.529 0.250 0.118
11 Mg 0.636 0.750 0.553
12 Mg 0.862 0.250 0.447

No. 2
VASP calculation (PBE) on a relaxed ScCoBiOs crystal.

Polymorph energy (0 for the lowest one), eV/f.u.: 1.18
V, Å³ per atom: 17.41
Space group: F-43m, No. 216

a b c (Å): 4.618 4.618 4.618
angles (deg): 60.00 60.00 60.00
Atoms (fractional coordinates):
1 Sc 0.000 0.000 0.000
2 Co 0.500 0.500 0.500
3 Bi 0.250 0.250 0.250
4 Os 0.750 0.750 0.750

No. 3
VASP calculation (PBE) on a relaxed AgSb5Ir3 crystal.

Final energy, eV/atom: -5.44
V, Å³ per atom: 23.99
Space group: P6/mmm, No. 191

a b c (Å): 5.613 5.613 7.914
angles (deg): 90.00 90.00 120.00
Atoms (fractional coordinates):
1 Ag 0.000 0.000 0.000
2 Sb 0.000 0.000 0.500
3 Sb 0.333 0.667 0.218
4 Sb 0.333 0.667 0.782
5 Sb 0.667 0.333 0.218
6 Sb 0.667 0.333 0.782
7 Ir 0.000 0.500 0.500
8 Ir 0.500 0.000 0.500
9 Ir 0.500 0.500 0.500

No. 4
VASP calculation (PBE) on a relaxed BaFeHgSe3 crystal.

Polymorph energy (0 for the lowest one), eV/f.u.: 0.00
V, Å³ per atom: 27.34
Space group: Cmcm, No. 63

a b c (Å): 7.257 7.257 11.044
angles (deg): 90.00 90.00 145.67
Atoms (fractional coordinates):
1 Ba 0.239 0.761 0.750
2 Ba 0.761 0.239 0.250
3 Fe 0.045 0.955 0.250
4 Fe 0.955 0.045 0.750
5 Hg 0.500 0.500 0.000
6 Hg 0.500 0.500 0.500
7 Se 0.140 0.860 0.067
8 Se 0.140 0.860 0.433
9 Se 0.445 0.555 0.250
10 Se 0.555 0.445 0.750
11 Se 0.860 0.140 0.567
12 Se 0.860 0.140 0.933

The highest V belongs to which entry? BaFeHgSe3